{
  "formula": "Y2PuNiO8",
  "functional": "GGA+U",
  "state": "relaxed",
  "lattice": [[4.582, -0.272, 0.102], [-0.264, 5.054, -0.300], [0.150, -0.404, 7.070]],
  "species": ["Y", "Y", "Pu", "Ni", "O", "O", "O", "O", "O", "O", "O", "O"],
  "fractional_positions": [[0.581, 0.482, 0.735], [0.419, 0.518, 0.265], [0.000, 0.000, 0.000], [0.000, 0.000, 0.500], [0.145, 0.861, 0.260], [0.636, 0.759, 0.022], [0.871, 0.284, 0.176], [0.855, 0.139, 0.740], [0.364, 0.241, 0.978], [0.129, 0.716, 0.824], [0.710, 0.719, 0.493], [0.290, 0.281, 0.507]],
  "dft_energy_ev_per_atom": -8.20
}

***

{
  "formula": "NaNp2CoO8",
  "functional": "GGA+U",
  "state": "relaxed",
  "lattice": [[-3.501, -0.010, 3.318], [1.377, -4.279, 1.754], [4.157, 3.048, 4.645]],
  "species": ["Na", "Np", "Np", "Co", "O", "O", "O", "O", "O", "O", "O", "O"],
  "fractional_positions": [[0.000, 0.000, 0.500], [0.498, 0.498, 0.753], [0.502, 0.502, 0.247], [0.000, 0.000, 0.000], [0.213, 0.785, 0.229], [0.690, 0.689, 0.008], [0.785, 0.213, 0.229], [0.787, 0.215, 0.771], [0.310, 0.311, 0.992], [0.215, 0.787, 0.771], [0.675, 0.675, 0.515], [0.325, 0.325, 0.485]],
  "dft_energy_ev_per_atom": -8.27
}

***

- Number 2 is which compound?
  NaNp2CoO8